The following is a DFT calculation (PBE) of a geometry-optimized BaVPd3 structure.

Results
Energy above the lowest structure with this stoichiometry   0.000 eV/atom
Total moment   1.9 μB per cell

a b c (Å): 4.880 4.880 4.880
angles (deg): 90.00 90.00 90.00
Each line ends with the local moment (μB).
Fractional positions:
Ba 0.500 0.500 0.500  0.01
Pd 0.000 0.500 0.000  0.06
Pd 0.000 0.000 0.500  0.06
Pd 0.500 0.000 0.000  0.06
V 0.000 0.000 0.000  1.51